Entry from Alexandria via LeMat-Bulk: crystalline ZnNi3Pt4 at its relaxed geometry (PBE-GGA).

a b c (Å): 7.7921 7.7921 7.7921
angles (deg): 151.13 151.13 41.28
Fractional positions:
Zn  0.0000  0.0000  0.0000
Ni  0.2507  0.2507  0.0000
Ni  0.5000  0.5000  0.0000
Ni  0.7493  0.7493  0.0000
Pt  0.1270  0.6270  0.5000
Pt  0.3730  0.8730  0.5000
Pt  0.6270  0.1270  0.5000
Pt  0.8730  0.3730  0.5000

Results
* polymorph energy (0 for the lowest one): 0.000 eV/atom
* ρ: 15420 kg/m³
* total energy: -5.556 eV per atom
* ΔE_f: -0.21 eV/atom